1.
This record from the Alexandria database describes a crystal of CaMgAg2 relaxed with PBEsol. The functional is SCAN.

N(E_F): 1.25 states/eV per cell
ΔH_f (0 K): -175 meV per atom
total moment: 0.0 Bohr magnetons per cell
space group: I-4m2 (119)

Cell and atoms, written as extended XYZ:
```
4
Lattice="-2.1474 2.1474 4.4863 2.1474 -2.1474 4.4863 2.1474 2.1474 -4.4863" Properties=species:S:1:pos:R:3 pbc="T T T"
Ca 0.0000 0.0000 0.0000
Mg 0.0000 2.1474 2.2432
Ag 2.1474 0.0000 2.2432
Ag 0.0000 0.0000 4.4863
```

---

2.
This record from the Alexandria database describes a crystal of CaMnAg relaxed with PBEsol. The functional is SCAN.

N(E_F): 1.54 states/eV per cell
ΔH_f (0 K): -47 meV per atom
total moment: 4.4 Bohr magnetons per cell
space group: I4mm (107)

Cell and atoms, written as extended XYZ:
```
3
Lattice="-1.7431 1.7431 5.2870 1.7431 -1.7431 5.2870 1.7431 1.7431 -5.2870" Properties=species:S:1:pos:R:3 pbc="T T T"
Ca 0.0000 0.0000 0.0000
Mn 0.0000 0.0000 3.1219
Ag 0.0000 0.0000 7.3308
```

---

3.
This record from the Alexandria database describes a crystal of Ca2MnAg relaxed with PBEsol. The functional is SCAN.

N(E_F): 3.99 states/eV per cell
ΔH_f (0 K): -20 meV per atom
total moment: 4.1 Bohr magnetons per cell
space group: Imm2 (44)

Cell and atoms, written as extended XYZ:
```
4
Lattice="-1.8101 2.5281 5.3533 1.8101 -2.5281 5.3533 1.8101 2.5281 -5.3533" Properties=species:S:1:pos:R:3 pbc="T T T"
Ca 0.0000 0.0000 0.0000
Ca 0.0000 2.5281 2.2599
Mn 0.0000 0.0000 4.6475
Ag 1.8101 0.0000 2.7207
```